Entry 1:
## MgOsAu2 (GGA-PBE)

Data for a geometry-optimized MgOsAu2 structure.

symmetry: R3m (160)
DOS at the Fermi energy: 0.77 states/eV/atom
total moment: 0.4 μB per formula unit
E: -4.6611 eV per atom

Cell lengths 9.503, 9.503, 9.503 Å; angles 17.39, 17.39, 17.39 degrees
Fractional coordinates of all 4 atoms:
Os 0.753 0.753 0.753
Au 0.002 0.002 0.002
Au 0.246 0.246 0.246
Mg 0.498 0.498 0.498



Entry 2:
## MgOsAu2 (GGA-PBE)

Data for a geometry-optimized MgOsAu2 structure.

symmetry: Cmmm (65)
DOS at the Fermi energy: 0.66 states/eV/atom
total moment: 0.0 μB per formula unit
E: -4.7264 eV per atom

Cell lengths 4.826, 6.521, 2.962 Å; angles 63.02, 89.98, 122.44 degrees
Fractional coordinates of all 4 atoms:
Au 0.000 0.500 0.500
Au 0.000 0.000 0.000
Mg 0.500 0.500 0.000
Os 0.500 0.000 0.500



Entry 3:
## MgOs2Au (GGA-PBE)

Data for a geometry-optimized MgOs2Au structure.

symmetry: R-3m (166)
DOS at the Fermi energy: 0.94 states/eV/atom
total moment: 0.0 μB per formula unit
E: -6.3978 eV per atom

Cell lengths 9.489, 9.489, 9.489 Å; angles 16.88, 16.88, 16.88 degrees
Fractional coordinates of all 4 atoms:
Os 0.002 0.002 0.002
Os 0.498 0.498 0.498
Mg 0.750 0.750 0.750
Au 0.250 0.250 0.250



Entry 4:
## MgOsAu2 (GGA-PBE)

Data for a geometry-optimized MgOsAu2 structure.

symmetry: C2/m (12)
DOS at the Fermi energy: 0.85 states/eV/atom
total moment: 0.1 μB per formula unit
E: -4.6094 eV per atom

Cell lengths 4.957, 4.957, 5.151 Å; angles 80.69, 80.69, 32.64 degrees
Fractional coordinates of all 4 atoms:
Mg 0.750 0.750 0.750
Au 0.503 0.503 0.495
Au 0.997 0.997 0.005
Os 0.250 0.250 0.250



Entry 5:
## MgOsAu2 (GGA-PBE)

Data for a geometry-optimized MgOsAu2 structure.

symmetry: Immm (71)
DOS at the Fermi energy: 0.59 states/eV/atom
total moment: 0.0 μB per formula unit
E: -4.5351 eV per atom

Cell lengths 5.703, 5.703, 5.703 Å; angles 151.36, 128.87, 59.65 degrees
Fractional coordinates of all 4 atoms:
Au 0.494 0.494 0.000
Au 0.006 0.006 0.000
Os 0.250 0.750 0.500
Mg 0.750 0.250 0.500



Entry 6:
## Mg2Os2Au (GGA-PBE)

Data for a geometry-optimized Mg2Os2Au structure.

symmetry: I4/mmm (139)
DOS at the Fermi energy: 0.74 states/eV/atom
total moment: 0.0 μB per formula unit
offset from the most stable computed form: 0 meV/atom

Cell lengths 3.523, 3.523, 7.990 Å; angles 77.26, 77.26, 90.00 degrees
Fractional coordinates of all 5 atoms:
Os 0.250 0.750 0.500
Os 0.750 0.250 0.500
Au 0.000 0.000 0.000
Mg 0.399 0.399 0.202
Mg 0.601 0.601 0.798



Entry 7:
## MgOsAu2 (GGA-PBE)

Data for a geometry-optimized MgOsAu2 structure.

symmetry: Cmm2 (35)
DOS at the Fermi energy: 0.59 states/eV/atom
total moment: 0.0 μB per formula unit
E: -4.6211 eV per atom

Cell lengths 2.796, 2.796, 9.497 Å; angles 90.00, 90.00, 115.09 degrees
Fractional coordinates of all 4 atoms:
Os 0.500 0.500 0.738
Au 0.000 0.000 0.993
Au 0.500 0.500 0.263
Mg 0.000 0.000 0.506



Entry 8:
## MgPOs2Au (GGA-PBE)

Data for a geometry-optimized MgPOs2Au structure.

symmetry: P4/mmm (123)
DOS at the Fermi energy: 1.27 states/eV/atom
total moment: 2.3 μB per formula unit
E: -4.4550 eV per atom

Cell lengths 4.892, 4.705, 4.892 Å; angles 90.00, 90.00, 90.00 degrees
Fractional coordinates of all 5 atoms:
Au 0.000 0.000 0.000
Os 0.000 0.000 0.500
Os 0.500 0.000 0.000
P 0.500 0.500 0.500
Mg 0.000 0.500 0.000



- Number 3 is which compound?
  MgOs2Au



- Which value of total moment does entry 2 give?
  0.0 μB per formula unit



- What is the DOS at the Fermi energy in the sixth record?
  0.74 states/eV/atom